(1)
DFT (PBE) results for an optimized crystal structure of TlTc3Mo.

Cell lengths 4.804, 4.804, 4.804 Å; angles 90.00, 90.00, 90.00 degrees
Space group Pm-3m (No. 221)
One atom of each set of equivalent atoms:
Tl  0.000  0.000  0.000 [1 per cell]
Tc  0.000  0.000  0.500 [3 per cell]
Mo  0.500  0.500  0.500 [1 per cell]

## Properties
As for the total energy: -29.6 eV/cell. The value obtained for the energy above the most stable polymorph in this dataset is 1348 meV/atom. As for the size of the total moment: 0.000 μB per atom. The formation energy is 2.940 eV per atom.

(2)
DFT (PBE) results for an optimized crystal structure of TlTcMo4.

Cell lengths 7.432, 7.432, 7.432 Å; angles 90.00, 90.00, 90.00 degrees
Space group F-43m (No. 216)
One atom of each set of equivalent atoms:
Tl  0.000  0.000  0.000 [4 per cell]
Tc  0.250  0.250  0.250 [4 per cell]
Mo  0.126  0.126  0.626 [16 per cell]

## Properties
As for the total energy: -211.9 eV/cell. As for the size of the total moment: 0.000 μB per atom. The formation energy is 0.512 eV per atom.

(3)
DFT (PBE) results for an optimized crystal structure of TlTc3Mo.

Cell lengths 4.734, 4.734, 4.734 Å; angles 90.00, 90.00, 90.00 degrees
Space group Pm-3m (No. 221)
One atom of each set of equivalent atoms:
Tl  0.000  0.000  0.000 [1 per cell]
Tc  0.000  0.500  0.500 [3 per cell]
Mo  0.500  0.500  0.500 [1 per cell]

## Properties
As for the total energy: -36.3 eV/cell. The value obtained for the energy above the most stable polymorph in this dataset is 0 meV/atom. As for the size of the total moment: 0.556 μB per atom. The formation energy is 1.592 eV per atom.

For each record above, in turn, the calculated Fermi-level density of states values are 6.61 6.74 5.05 states/eV/f.u..